An optimized crystal structure of Ta3Au2, computed with GGA-PBE.

Total energy (hartree per atom): -0.2892
Fermi-level density of states (states/eV/f.u.): 5.33

The structure in POSCAR format:
```
Ta3Au2
1.0
2.255 -3.906 0.000
2.255 3.906 0.000
0.000 0.000 5.651
Ta Au
3 2
direct
0.000 0.000 0.000 Ta
0.667 0.333 0.626 Ta
0.333 0.667 0.374 Ta
0.333 0.667 0.860 Au
0.667 0.333 0.140 Au
```



An optimized crystal structure of ZrAs, computed with GGA-PBE.

Total energy (hartree per atom): -0.2466
Fermi-level density of states (states/eV/f.u.): 1.69

The structure in POSCAR format:
```
ZrAs
1.0
-1.417 1.833 -2.082
-1.586 -2.292 1.391
-2.905 6.897 8.050
As Zr
2 2
direct
0.667 0.333 0.293 As
0.000 0.000 0.957 As
0.667 0.333 0.746 Zr
0.000 0.000 0.504 Zr
```



An optimized crystal structure of Pr10Nd4Th, computed with GGA-PBE.

Total energy (hartree per atom): -0.1741
Fermi-level density of states (states/eV/f.u.): 21.75

The structure in POSCAR format:
```
Pr10Nd4Th
1.0
-4.380 -5.011 4.903
2.824 -8.700 0.599
2.607 -0.513 8.772
Nd Pr Th
4 10 1
direct
0.224 0.552 0.000 Nd
0.224 0.000 0.552 Nd
0.776 0.448 0.000 Nd
0.776 0.000 0.448 Nd
0.293 0.789 0.211 Pr
0.750 0.500 0.500 Pr
0.496 0.211 0.211 Pr
0.504 0.789 0.789 Pr
0.293 0.211 0.789 Pr
0.082 0.211 0.211 Pr
0.707 0.789 0.211 Pr
0.918 0.789 0.789 Pr
0.707 0.211 0.789 Pr
0.250 0.500 0.500 Pr
0.000 0.000 0.000 Th
```



An optimized crystal structure of Nd4AlSi3, computed with GGA-PBE.

Uncorrected formation energy (eV/atom): -0.678
Total energy (hartree per atom): -0.2044
Fermi-level density of states (states/eV/f.u.): 5.48

The structure in POSCAR format:
```
Nd4AlSi3
1.0
4.470 0.000 0.000
0.000 4.008 0.000
0.000 0.000 11.169
Si Nd Al
3 4 1
direct
0.500 0.000 0.926 Si
0.000 0.500 0.572 Si
0.000 0.000 0.433 Si
0.500 0.000 0.640 Nd
0.000 0.000 0.144 Nd
0.500 0.500 0.363 Nd
0.000 0.500 0.855 Nd
0.500 0.500 0.067 Al
```



An optimized crystal structure of MnTeS2, computed with GGA-PBE.

Uncorrected formation energy (eV/atom): -0.103
Total energy (hartree per atom): -0.1928
Fermi-level density of states (states/eV/f.u.): 1.94

The structure in POSCAR format:
```
MnTeS2
1.0
-0.573 6.203 1.760
-7.729 -2.158 5.087
3.645 -1.102 5.070
Mn Te S
4 4 8
direct
0.598 0.100 0.990 Mn
0.402 0.900 0.490 Mn
0.098 0.400 0.990 Mn
0.902 0.600 0.490 Mn
0.030 0.011 0.474 Te
0.470 0.511 0.974 Te
0.530 0.489 0.474 Te
0.970 0.989 0.974 Te
0.389 0.274 0.103 S
0.611 0.726 0.603 S
0.526 0.053 0.683 S
0.026 0.447 0.683 S
0.111 0.774 0.603 S
0.889 0.226 0.103 S
0.974 0.553 0.183 S
0.474 0.947 0.183 S
```



An optimized crystal structure of GaSn2P2, computed with GGA-PBE.

Relative energy among the computed polymorphs (eV per formula unit): 0.14
Total energy (hartree per atom): -0.1531
Fermi-level density of states (states/eV/f.u.): 2.26

The structure in POSCAR format:
```
GaSn2P2
1.0
-0.792 -3.298 -0.424
2.740 -0.894 1.837
-4.103 -1.865 8.391
P Sn Ga
2 2 1
direct
0.250 0.750 0.500 P
0.750 0.250 0.500 P
0.608 0.608 0.784 Sn
0.392 0.392 0.216 Sn
0.000 0.000 0.000 Ga
```



For each record above, in turn, the calculated magnetization values are 0.00, 0.00, 0.00, 0.03, 0.00, 0.00 μB/f.u..